No. 1
The following is a PBE-GGA calculation of crystalline ScZn at its relaxed geometry, from the Alexandria database.

abc: 6.121 6.121 6.121
angles: 90.00 90.00 90.00
Space group F-43m (No. 216)
Inequivalent atoms, fractional coordinates:
Sc (0.000, 0.000, 0.000)
Zn (0.250, 0.250, 0.250)

Properties
* magnetization: 0.001 μB per atom
* raw total energy: -3.059 eV/atom
* volume: 28.66 Å³ per atom

***

No. 2
The following is a PBE-GGA calculation of crystalline ScTc2SbCl at its relaxed geometry, from the Alexandria database.

abc: 4.361 4.361 5.382
angles: 90.00 90.00 90.00
Space group P4/mmm (No. 123)
Inequivalent atoms, fractional coordinates:
Sc (0.000, 0.000, 0.000)
Tc (0.000, 0.500, 0.500)
Sb (0.500, 0.500, 0.000)
Cl (0.500, 0.500, 0.500)

Properties
* magnetization: 0.308 μB per atom
* ΔE_f (raw): 0.83 eV per atom
* volume: 20.47 Å³ per atom

***

No. 3
The following is a PBE-GGA calculation of crystalline CePd4Se2 at its relaxed geometry, from the Alexandria database.

abc: 7.766 7.766 4.231
angles: 90.00 90.00 90.00
Space group P4_2/mnm (No. 136)
Inequivalent atoms, fractional coordinates:
Ce (0.000, 0.000, 0.000)
Pd (0.091, 0.342, 0.500)
Se (0.219, 0.781, 0.500)

Properties
* magnetization: 0.072 μB per atom
* ΔE_f (raw): -0.70 eV per atom
* volume: 18.23 Å³ per atom

***

- What is the formula in the second record?
  ScTc2SbCl